This record from the Alexandria database describes a relaxed structure of Cs12Li3H5. The functional is GGA-PBE.

Results
Crystal system ... cubic
Energy ... -1.587 eV per atom
DOS(E_F) ... 57.00 states/eV per cell

Cell lengths 18.165, 18.165, 18.165 Å; angles 109.47, 109.47, 109.47 degrees
Element x y z (fractional)
Cs  0.991  0.387  0.307
Li  0.250  0.625  0.875
Li  0.750  0.875  0.625
H  0.375  0.125  0.750
Cs  0.887  0.307  0.491
H  0.000  0.000  0.500
H  0.250  0.375  0.625
Cs  0.613  0.604  0.920
Cs  0.316  0.509  0.396
H  0.250  0.875  0.125
Cs  0.193  0.509  0.613
Li  0.125  0.875  0.750
Li  0.375  0.625  0.250
Cs  0.491  0.807  0.887
Cs  0.896  0.080  0.887
Cs  0.396  0.009  0.316
Cs  0.580  0.887  0.396
H  0.500  0.000  0.000
Cs  0.184  0.104  0.991
Cs  0.009  0.613  0.693
Cs  0.396  0.387  0.580
H  0.000  0.500  0.500
Cs  0.307  0.420  0.816
Cs  0.113  0.693  0.509
Cs  0.509  0.193  0.113
Cs  0.387  0.396  0.080
Cs  0.316  0.807  0.420
Cs  0.113  0.420  0.104
Cs  0.807  0.491  0.387
H  0.125  0.750  0.375
H  0.625  0.750  0.875
Cs  0.816  0.896  0.009
H  0.625  0.875  0.250
Li  0.125  0.250  0.875
H  0.750  0.125  0.875
Cs  0.104  0.184  0.491
H  0.750  0.625  0.375
Cs  0.693  0.113  0.009
Li  0.375  0.750  0.625
Li  0.875  0.125  0.250
Cs  0.920  0.816  0.807
Cs  0.184  0.080  0.693
Cs  0.509  0.316  0.896
Cs  0.104  0.920  0.113
H  0.500  0.500  0.500
Cs  0.684  0.491  0.604
Cs  0.604  0.991  0.684
Cs  0.991  0.604  0.184
Li  0.875  0.750  0.125
Cs  0.693  0.580  0.184
H  0.875  0.250  0.625
Cs  0.080  0.896  0.387
H  0.000  0.500  0.000
Cs  0.613  0.009  0.193
Li  0.750  0.375  0.125
Cs  0.080  0.184  0.193
H  0.375  0.250  0.125
Cs  0.896  0.816  0.509
H  0.500  0.500  0.000
Cs  0.307  0.887  0.991
Cs  0.420  0.113  0.604
Cs  0.684  0.193  0.580
Cs  0.920  0.104  0.613
Cs  0.387  0.991  0.807
Cs  0.491  0.684  0.104
H  0.500  0.000  0.500
Cs  0.807  0.316  0.920
Cs  0.193  0.684  0.080
Cs  0.887  0.580  0.896
H  0.000  0.000  0.000
Cs  0.420  0.307  0.316
Cs  0.604  0.613  0.420
Cs  0.816  0.920  0.307
Li  0.625  0.250  0.375
H  0.125  0.375  0.250
Cs  0.580  0.693  0.684
Li  0.250  0.125  0.375
H  0.875  0.625  0.750
Cs  0.009  0.396  0.816
Li  0.625  0.375  0.750